! CuSb2Pb | the Alexandria database | PBE | relaxed; values from VASP
&SYSTEM
  ibrav = 0, nat = 8, ntyp = 3
/
ATOMIC_SPECIES
Pb 207.20 Pb.upf
Sb 121.76 Sb.upf
Cu 63.55 Cu.upf
ATOMIC_POSITIONS crystal
Pb 0.500 0.000 0.500
Pb 0.500 0.500 0.000
Sb 0.790 0.531 0.644
Sb 0.210 0.469 0.356
Sb 0.802 0.044 0.090
Sb 0.198 0.956 0.910
Cu 0.039 0.205 0.568
Cu 0.961 0.795 0.432
CELL_PARAMETERS angstrom
5.919 0.033 -0.006
-0.188 6.231 -0.001
-2.760 -0.758 5.579
! - calculated total energy (eV/cell) = -31.43
! - space group = P-1, No. 2
! - magnetic moment (Bohr magnetons per cell) = 0.00